Density functional theory data (PBE) for ScTcC2 after structural relaxation.

Values from the calculation:
Total magnetic moment ... 0.00 μB per cell
Energy of formation ... 2.14 eV per formula unit
Energy relative to the lowest polymorph listed for this composition ... 0.6677 eV/atom
D(E_F) ... 0.3153 states/eV per atom
E_tot ... -33.01 eV for the cell shown

Lattice parameters (Å, degrees): 3.889 3.889 3.889 60.00 60.00 60.00
Positions (direct):
C  0.250  0.250  0.250
Tc  0.500  0.500  0.500
C  0.750  0.750  0.750
Sc  0.000  0.000  0.000

Density functional theory data (PBE) for Sc2Si2Pt after structural relaxation.

Values from the calculation:
Total magnetic moment ... 0.00 μB per cell
D(E_F) ... 0.6066 states/eV per atom
E_form (uncorrected) ... -0.9975 eV/atom
E_tot ... -34.54 eV for the cell shown

Lattice parameters (Å, degrees): 3.878 5.306 5.306 60.44 68.56 68.56
Positions (direct):
Si  0.500  0.723  0.277
Si  0.500  0.277  0.723
Sc  0.208  0.292  0.292
Sc  0.792  0.708  0.708
Pt  0.000  0.000  0.000

Density functional theory data (PBE) for LiPmRh after structural relaxation.

Values from the calculation:
Total magnetic moment ... 0.00 μB per cell
Energy of formation ... -1.25 eV per formula unit
Energy relative to the lowest polymorph listed for this composition ... 0.0844 eV/atom
D(E_F) ... 0.4991 states/eV per atom
E_tot ... -30.53 eV for the cell shown

Lattice parameters (Å, degrees): 4.959 4.959 5.766 90.00 90.00 118.90
Positions (direct):
Pm  0.263  0.935  0.750
Rh  0.926  0.272  0.750
Li  0.599  0.599  0.500
Li  0.599  0.599  0.000
Pm  0.935  0.263  0.250
Rh  0.272  0.926  0.250

Density functional theory data (PBE) for NiAgAsIr2 after structural relaxation.

Values from the calculation:
Total magnetic moment ... 1.01 μB per cell
Energy of formation ... 5.85 eV per formula unit
D(E_F) ... 1.3499 states/eV per atom
E_tot ... -25.16 eV for the cell shown

Lattice parameters (Å, degrees): 4.629 4.245 4.629 90.00 90.00 90.00
Last column: magnetic moment on the atom in μB.
Positions (direct):
Ag  0.500  0.500  0.500  0.01
Ir  0.500  0.000  0.000  0.19
As  0.000  0.500  0.000  0.01
Ni  0.000  0.000  0.000  0.33
Ir  0.000  0.000  0.500  0.46

Density functional theory data (PBE) for CrIrPt2 after structural relaxation.

Values from the calculation:
Total magnetic moment ... 1.86 μB per cell
Energy of formation ... -0.40 eV per formula unit
D(E_F) ... 1.2017 states/eV per atom
E_tot ... -30.97 eV for the cell shown

Lattice parameters (Å, degrees): 4.764 4.764 4.742 79.33 79.33 33.77
Last column: magnetic moment on the atom in μB.
Positions (direct):
Ir  0.240  0.240  0.260  -0.23
Cr  0.505  0.505  0.492  2.06
Pt  0.998  0.998  0.005  -0.09
Pt  0.757  0.757  0.743  -0.01

Density functional theory data (PBE) for NaSbBr2 after structural relaxation.

Values from the calculation:
Total magnetic moment ... 0.00 μB per cell
Energy relative to the lowest polymorph listed for this composition ... 0.4317 eV/atom
D(E_F) ... 0.3169 states/eV per atom
E_form (uncorrected) ... -0.3206 eV/atom
E_tot ... -10.07 eV for the cell shown

Lattice parameters (Å, degrees): 10.443 10.443 10.443 20.49 20.49 20.49
Positions (direct):
Na  0.000  0.000  0.000
Br  0.914  0.914  0.914
Br  0.086  0.086  0.086
Sb  0.500  0.500  0.500

Density functional theory data (PBE) for CaRe2Ir after structural relaxation.

Values from the calculation:
Total magnetic moment ... 0.00 μB per cell
Energy of formation ... 2.33 eV per formula unit
Energy relative to the lowest polymorph listed for this composition ... 0.3451 eV/atom
D(E_F) ... 0.7857 states/eV per atom
E_tot ... -33.42 eV for the cell shown

Lattice parameters (Å, degrees): 5.295 5.295 5.295 137.39 137.39 61.84
Positions (direct):
Re  0.500  0.500  0.000
Ca  0.250  0.750  0.500
Ir  0.750  0.250  0.500
Re  0.000  0.000  0.000

Density functional theory data (PBE) for NaAl4Zn4 after structural relaxation.

Values from the calculation:
Total magnetic moment ... 0.00 μB per cell
Energy of formation ... 0.96 eV per formula unit
D(E_F) ... 0.3804 states/eV per atom
E_tot ... -40.84 eV for the cell shown

Lattice parameters (Å, degrees): 4.964 8.643 8.643 90.00 90.00 90.00
Positions (direct):
Al  0.939  0.383  0.107
Al  0.939  0.617  0.893
Zn  0.446  0.299  0.170
Zn  0.054  0.201  0.330
Al  0.439  0.393  0.883
Al  0.061  0.107  0.617
Al  0.061  0.893  0.383
Zn  0.554  0.170  0.701
Na  0.500  0.500  0.500
Zn  0.446  0.701  0.830
Zn  0.054  0.799  0.670
Zn  0.554  0.830  0.299
Zn  0.946  0.330  0.799
Al  0.439  0.607  0.117
Al  0.561  0.883  0.607
Al  0.561  0.117  0.393
Na  0.000  0.000  0.000
Zn  0.946  0.670  0.201

Density functional theory data (PBE) for BiP2HS after structural relaxation.

Values from the calculation:
Total magnetic moment ... 0.00 μB per cell
Energy relative to the lowest polymorph listed for this composition ... 0.0000 eV/atom
D(E_F) ... 0.5805 states/eV per atom
E_tot ... -19.13 eV for the cell shown

Lattice parameters (Å, degrees): 3.855 3.855 5.817 90.00 90.00 90.00
Positions (direct):
P  0.500  0.000  0.000
Bi  0.500  0.500  0.500
H  0.000  0.000  0.000
P  0.000  0.500  0.000
S  0.000  0.000  0.500

Density functional theory data (PBE) for Re4HgPt after structural relaxation.

Values from the calculation:
Total magnetic moment ... 0.00 μB per cell
Energy of formation ... 4.40 eV per formula unit
D(E_F) ... 1.0343 states/eV per atom
E_tot ... -51.74 eV for the cell shown

Lattice parameters (Å, degrees): 5.234 5.234 5.234 60.00 60.00 60.00
Positions (direct):
Re  0.878  0.374  0.374
Re  0.374  0.878  0.374
Re  0.374  0.374  0.878
Pt  0.000  0.000  0.000
Re  0.374  0.374  0.374
Hg  0.750  0.750  0.750

Density functional theory data (PBE) for Er5InTc after structural relaxation.

Values from the calculation:
Total magnetic moment ... 0.00 μB per cell
Energy of formation ... -0.26 eV per formula unit
D(E_F) ... 0.9142 states/eV per atom
E_tot ... -72.36 eV for the cell shown

Lattice parameters (Å, degrees): 5.890 5.890 11.730 77.50 77.50 78.11
Positions (direct):
Er  0.013  0.987  0.750
Er  0.584  0.920  0.625
In  0.601  0.399  0.750
Er  0.793  0.458  0.437
Er  0.987  0.013  0.250
Er  0.207  0.542  0.563
Er  0.416  0.080  0.375
Er  0.920  0.584  0.125
Er  0.080  0.416  0.875
Tc  0.000  0.000  0.000
Er  0.542  0.207  0.063
Tc  0.000  0.000  0.500
In  0.399  0.601  0.250
Er  0.458  0.793  0.937

Density functional theory data (PBE) for PmEuOs after structural relaxation.

Values from the calculation:
Total magnetic moment ... 6.93 μB per cell
Energy of formation ... 0.42 eV per formula unit
Energy relative to the lowest polymorph listed for this composition ... 0.0490 eV/atom
D(E_F) ... 2.5130 states/eV per atom
E_tot ... -25.84 eV for the cell shown

Lattice parameters (Å, degrees): 4.887 4.887 4.887 60.00 60.00 60.00
Last column: magnetic moment on the atom in μB.
Positions (direct):
Eu  0.000  0.000  0.000  6.76
Os  0.250  0.250  0.250  -0.17
Pm  0.500  0.500  0.500  0.05